--- 1 ---
# CoNiOF2

A geometry-optimized CoNiOF2 structure (PBE with a Hubbard U, the Alexandria database).

Lattice parameters (Å, degrees): 3.821 3.821 3.938 90.00 90.00 90.00
Space group P4/mmm (No. 123)
Inequivalent atoms, fractional coordinates:
1 Co 0.000 0.000 0.000 (multiplicity 1)
2 Ni 0.500 0.500 0.500 (multiplicity 1)
3 O 0.500 0.500 0.000 (multiplicity 1)
4 F 0.000 0.500 0.500 (multiplicity 2)

***

--- 2 ---
# CoNiOF2

A geometry-optimized CoNiOF2 structure (PBE with a Hubbard U, the Alexandria database).

Lattice parameters (Å, degrees): 4.027 4.027 3.687 90.00 90.00 90.00
Space group P4/mmm (No. 123)
Inequivalent atoms, fractional coordinates:
1 Co 0.000 0.000 0.000 (multiplicity 1)
2 Ni 0.500 0.500 0.500 (multiplicity 1)
3 O 0.000 0.000 0.500 (multiplicity 1)
4 F 0.000 0.500 0.000 (multiplicity 2)

***

Q: Which of them is the least stable? A: 1.

***

--- 1 ---
# Co2OF3

A geometry-optimized Co2OF3 structure (PBE with a Hubbard U, the Alexandria database).

Lattice parameters (Å, degrees): 6.075 13.169 6.962 90.00 90.00 90.00
Space group Cmmm (No. 65)
Inequivalent atoms, fractional coordinates:
1 Co 0.000 0.000 0.000 (multiplicity 2)
2 Co 0.000 0.244 0.500 (multiplicity 4)
3 Co 0.000 0.500 0.000 (multiplicity 2)
4 Co 0.230 0.000 0.500 (multiplicity 4)
5 Co 0.250 0.250 0.000 (multiplicity 4)
6 O 0.000 0.098 0.500 (multiplicity 4)
7 O 0.000 0.340 0.000 (multiplicity 4)
8 F 0.000 0.141 0.000 (multiplicity 4)
9 F 0.000 0.405 0.500 (multiplicity 4)
10 F 0.228 0.000 0.184 (multiplicity 8)
11 F 0.250 0.250 0.306 (multiplicity 8)

***

--- 2 ---
# Co2OF3

A geometry-optimized Co2OF3 structure (PBE with a Hubbard U, the Alexandria database).

Lattice parameters (Å, degrees): 15.658 6.849 6.458 90.00 90.00 90.00
Space group Amm2 (No. 38)
Inequivalent atoms, fractional coordinates:
1 Co 0.000 0.000 0.000 (multiplicity 2)
2 Co 0.100 0.000 0.472 (multiplicity 4)
3 Co 0.197 0.000 0.011 (multiplicity 4)
4 Co 0.296 0.000 0.548 (multiplicity 4)
5 Co 0.398 0.000 0.012 (multiplicity 4)
6 Co 0.500 0.000 0.546 (multiplicity 2)
7 O 0.108 0.000 0.176 (multiplicity 4)
8 O 0.292 0.000 0.821 (multiplicity 4)
9 O 0.500 0.000 0.822 (multiplicity 2)
10 F 0.000 0.197 0.479 (multiplicity 4)
11 F 0.102 0.000 0.783 (multiplicity 4)
12 F 0.203 0.196 0.501 (multiplicity 8)
13 F 0.300 0.000 0.229 (multiplicity 4)
14 F 0.394 0.196 0.520 (multiplicity 8)
15 F 0.500 0.000 0.235 (multiplicity 2)

***

--- 3 ---
# Co2OF3

A geometry-optimized Co2OF3 structure (PBE with a Hubbard U, the Alexandria database).

Lattice parameters (Å, degrees): 6.117 6.747 6.458 90.00 90.00 90.00
Space group Imma (No. 74)
Inequivalent atoms, fractional coordinates:
1 Co 0.000 0.250 0.216 (multiplicity 4)
2 Co 0.250 0.250 0.750 (multiplicity 4)
3 O 0.000 0.250 0.920 (multiplicity 4)
4 F 0.000 0.250 0.535 (multiplicity 4)
5 F 0.250 0.048 0.250 (multiplicity 8)

***

Q: Which of them is the least stable? A: 1.

***

--- 1 ---
# Co2OF3

A geometry-optimized Co2OF3 structure (PBE with a Hubbard U, the Alexandria database).

Lattice parameters (Å, degrees): 15.483 6.855 6.484 90.00 90.00 90.00
Space group Amm2 (No. 38)
Inequivalent atoms, fractional coordinates:
1 Co 0.000 0.000 0.000 (multiplicity 2)
2 Co 0.100 0.000 0.533 (multiplicity 4)
3 Co 0.200 0.000 0.068 (multiplicity 4)
4 Co 0.302 0.000 0.518 (multiplicity 4)
5 Co 0.399 0.000 0.061 (multiplicity 4)
6 Co 0.500 0.000 0.542 (multiplicity 2)
7 O 0.000 0.000 0.718 (multiplicity 2)
8 O 0.198 0.000 0.339 (multiplicity 4)
9 O 0.393 0.000 0.359 (multiplicity 4)
10 F 0.000 0.000 0.314 (multiplicity 2)
11 F 0.098 0.192 0.025 (multiplicity 8)
12 F 0.205 0.000 0.748 (multiplicity 4)
13 F 0.294 0.199 0.044 (multiplicity 8)
14 F 0.396 0.000 0.752 (multiplicity 4)
15 F 0.500 0.197 0.053 (multiplicity 4)

***

--- 2 ---
# Co2OF3

A geometry-optimized Co2OF3 structure (PBE with a Hubbard U, the Alexandria database).

Lattice parameters (Å, degrees): 9.420 6.063 10.350 90.00 114.57 90.00
Space group C2/m (No. 12)
Inequivalent atoms, fractional coordinates:
1 Co 0.000 0.000 0.000 (multiplicity 2)
2 Co 0.000 0.500 0.000 (multiplicity 2)
3 Co 0.124 0.247 0.748 (multiplicity 8)
4 Co 0.240 0.500 0.517 (multiplicity 4)
5 O 0.082 0.000 0.836 (multiplicity 4)
6 O 0.166 0.500 0.663 (multiplicity 4)
7 F 0.074 0.500 0.850 (multiplicity 4)
8 F 0.099 0.248 0.400 (multiplicity 8)
9 F 0.151 0.247 0.101 (multiplicity 8)
10 F 0.181 0.000 0.643 (multiplicity 4)

***

--- 3 ---
# Co2OF3

A geometry-optimized Co2OF3 structure (PBE with a Hubbard U, the Alexandria database).

Lattice parameters (Å, degrees): 4.713 5.657 13.138 77.75 89.45 89.91
Space group P1 (No. 1)
Inequivalent atoms, fractional coordinates:
1 Co 0.000 0.000 0.000 (multiplicity 1)
2 Co 0.000 0.221 0.195 (multiplicity 1)
3 Co 0.005 0.609 0.594 (multiplicity 1)
4 Co 0.023 0.831 0.780 (multiplicity 1)
5 Co 0.421 0.674 0.195 (multiplicity 1)
6 Co 0.493 0.525 0.995 (multiplicity 1)
7 Co 0.497 0.116 0.594 (multiplicity 1)
8 Co 0.499 0.904 0.391 (multiplicity 1)
9 Co 0.522 0.307 0.812 (multiplicity 1)
10 Co 0.977 0.402 0.401 (multiplicity 1)
11 O 0.175 0.455 0.262 (multiplicity 1)
12 O 0.193 0.875 0.660 (multiplicity 1)
13 O 0.309 0.758 0.053 (multiplicity 1)
14 O 0.680 0.271 0.937 (multiplicity 1)
15 O 0.807 0.354 0.527 (multiplicity 1)
16 F 0.187 0.075 0.855 (multiplicity 1)
17 F 0.199 0.665 0.450 (multiplicity 1)
18 F 0.209 0.286 0.055 (multiplicity 1)
19 F 0.291 0.576 0.863 (multiplicity 1)
20 F 0.296 0.161 0.454 (multiplicity 1)
21 F 0.298 0.962 0.248 (multiplicity 1)
22 F 0.317 0.376 0.671 (multiplicity 1)
23 F 0.684 0.647 0.322 (multiplicity 1)
24 F 0.690 0.466 0.126 (multiplicity 1)
25 F 0.694 0.060 0.741 (multiplicity 1)
26 F 0.694 0.848 0.534 (multiplicity 1)
27 F 0.787 0.754 0.927 (multiplicity 1)
28 F 0.793 0.149 0.332 (multiplicity 1)
29 F 0.795 0.558 0.738 (multiplicity 1)
30 F 0.808 0.968 0.138 (multiplicity 1)

***

Q: Which of them is the least stable? A: 3.